Compound: Tb3PrY12
Source: Alexandria via LeMat-Bulk
Functional: PBE
Structure: relaxed

## Properties
total moment: 0.0 μB/f.u.
energy of formation: 0.02 eV per atom
electronic total energy: -5.992 eV/atom

Lattice parameters (Å, degrees): 5.0602 5.0602 20.2511 90.00 90.00 90.00
Space group P4/mmm (No. 123)
Inequivalent atoms, fractional coordinates:
1 Tb 0.0000 0.0000 0.0000 (multiplicity 1)
2 Tb 0.0000 0.0000 0.2490 (multiplicity 2)
3 Pr 0.0000 0.0000 0.5000 (multiplicity 1)
4 Y 0.0000 0.5000 0.1244 (multiplicity 4)
5 Y 0.0000 0.5000 0.3731 (multiplicity 4)
6 Y 0.5000 0.5000 0.0000 (multiplicity 1)
7 Y 0.5000 0.5000 0.2485 (multiplicity 2)
8 Y 0.5000 0.5000 0.5000 (multiplicity 1)

Compound: HoNi2GeH
Source: Alexandria via LeMat-Bulk
Functional: PBE
Structure: relaxed

## Properties
total moment: 0.0 μB/f.u.
electronic total energy: -5.445 eV/atom

Lattice parameters (Å, degrees): 3.7754 10.2320 6.8268 90.00 90.00 90.00
Space group Cmcm (No. 63)
Inequivalent atoms, fractional coordinates:
1 Ho 0.0000 0.0589 0.2500 (multiplicity 4)
2 Ni 0.0000 0.3404 0.0568 (multiplicity 8)
3 Ge 0.0000 0.2243 0.7500 (multiplicity 4)
4 H 0.0000 0.5000 0.0000 (multiplicity 4)

Compound: Sm3Ga2Hg4
Source: Alexandria via LeMat-Bulk
Functional: PBE
Structure: relaxed

## Properties
total moment: 0.0 μB/f.u.
energy of formation: -0.48 eV per atom
electronic total energy: -2.862 eV/atom

Lattice parameters (Å, degrees): 11.1147 4.8116 9.0764 90.00 115.94 90.00
Space group C2/m (No. 12)
Inequivalent atoms, fractional coordinates:
1 Sm 0.0000 0.0000 0.0000 (multiplicity 2)
2 Sm 0.1642 0.5000 0.6715 (multiplicity 4)
3 Ga 0.1067 0.5000 0.2754 (multiplicity 4)
4 Hg 0.0834 0.0000 0.4108 (multiplicity 4)
5 Hg 0.1972 0.5000 0.0380 (multiplicity 4)

Compound: SmCuSb
Source: Alexandria via LeMat-Bulk
Functional: PBE
Structure: relaxed

## Properties
total moment: 0.0 μB/f.u.
formation energy from raw total energies: -0.315 eV per atom
electronic total energy: -4.628 eV/atom

Lattice parameters (Å, degrees): 4.1525 4.1525 8.6363 90.00 90.00 90.00
Space group I4mm (No. 107)
Inequivalent atoms, fractional coordinates:
1 Sm 0.0000 0.0000 0.0000 (multiplicity 2)
2 Cu 0.0000 0.0000 0.6615 (multiplicity 2)
3 Sb 0.0000 0.0000 0.3544 (multiplicity 2)

Compound: Ta2TcW2
Source: Alexandria via LeMat-Bulk
Functional: PBE
Structure: relaxed

## Properties
total moment: 0.0 μB/f.u.
energy of formation: 0.22 eV per atom
electronic total energy: -11.773 eV/atom

Lattice parameters (Å, degrees): 3.2053 17.0868 3.1697 90.00 90.00 90.00
Space group Cmmm (No. 65)
Inequivalent atoms, fractional coordinates:
1 Ta 0.0000 0.0940 0.0000 (multiplicity 4)
2 Tc 0.0000 0.5000 0.5000 (multiplicity 2)
3 W 0.0000 0.3083 0.5000 (multiplicity 4)

Compound: PaTl2InS4
Source: Alexandria via LeMat-Bulk
Functional: PBE
Structure: relaxed

## Properties
total moment: 0.0 μB/f.u.
formation energy from raw total energies: -0.883 eV per atom
electronic total energy: -5.068 eV/atom

Lattice parameters (Å, degrees): 7.6281 4.1484 7.6424 90.00 108.11 90.00
Space group P2/m (No. 10)
Inequivalent atoms, fractional coordinates:
1 Pa 0.0000 0.0000 0.0000 (multiplicity 1)
2 Tl 0.0000 0.5000 0.5000 (multiplicity 1)
3 Tl 0.5000 0.0000 0.5000 (multiplicity 1)
4 In 0.5000 0.5000 0.0000 (multiplicity 1)
5 S 0.2038 0.5000 0.1974 (multiplicity 2)
6 S 0.2145 0.0000 0.8001 (multiplicity 2)

Compound: Tc3SbRu
Source: Alexandria via LeMat-Bulk
Functional: PBE
Structure: relaxed

## Properties
total moment: 0.9 μB/f.u.
formation energy from raw total energies: 1.538 eV per atom
relative energy among the computed polymorphs: 0.000 eV per atom
electronic total energy: -7.361 eV/atom

Lattice parameters (Å, degrees): 4.6694 4.6694 4.6694 90.00 90.00 90.00
Space group Pm-3m (No. 221)
Inequivalent atoms, fractional coordinates:
1 Tc 0.0000 0.0000 0.5000 (multiplicity 3)
2 Sb 0.5000 0.5000 0.5000 (multiplicity 1)
3 Ru 0.0000 0.0000 0.0000 (multiplicity 1)

Compound: Tb4NdS5
Source: Alexandria via LeMat-Bulk
Functional: PBE
Structure: relaxed

## Properties
total moment: 0.0 μB/f.u.
formation energy from raw total energies: -2.005 eV per atom
electronic total energy: -6.397 eV/atom

Lattice parameters (Å, degrees): 3.9525 5.5931 19.8102 90.00 90.00 90.00
Space group Immm (No. 71)
Inequivalent atoms, fractional coordinates:
1 Tb 0.0000 0.0000 0.0996 (multiplicity 4)
2 Tb 0.0000 0.0000 0.2983 (multiplicity 4)
3 Nd 0.0000 0.0000 0.5000 (multiplicity 2)
4 S 0.0000 0.5000 0.1045 (multiplicity 4)
5 S 0.0000 0.5000 0.3008 (multiplicity 4)
6 S 0.0000 0.5000 0.5000 (multiplicity 2)

| no. | mass density (Mg/m³) |
| --- | --- |
| 1 | 5.39 |
| 2 | 8.97 |
| 3 | 10.60 |
| 4 | 7.49 |
| 5 | 15.83 |
| 6 | 6.38 |
| 7 | 8.43 |
| 8 | 7.13 |